1.
VASP calculation (PBE) on crystalline Ce6Ir3Os at its relaxed geometry.

Lattice parameters (Å, degrees): 4.0435 11.3775 11.8332 109.45 90.00 90.00
Sites, in units of the cell vectors:
1 Ce 0.2500 0.2541 0.7228
2 Ce 0.7500 0.1066 0.4487
3 Ce 0.2500 0.0795 0.8878
4 Ce 0.2500 0.8934 0.5513
5 Ce 0.2500 0.5295 0.3884
6 Ce 0.2500 0.6068 0.9412
7 Ce 0.7500 0.9205 0.1122
8 Ce 0.7500 0.3932 0.0588
9 Ce 0.7500 0.4705 0.6116
10 Ce 0.7500 0.7459 0.2772
11 Ce 0.7500 0.7973 0.7608
12 Ce 0.2500 0.2027 0.2392
13 Ir 0.7500 0.1507 0.0699
14 Ir 0.7500 0.4341 0.8334
15 Ir 0.2500 0.5659 0.1666
16 Ir 0.7500 0.6915 0.5029
17 Ir 0.2500 0.8493 0.9301
18 Ir 0.2500 0.3085 0.4971
19 Os 0.7500 0.0459 0.6888
20 Os 0.2500 0.9541 0.3112

Values from the calculation:
- electronic total energy (eV/f.u.) = -78.160
- spin magnetization (μB/f.u.) = 3.390
- DFT formation energy (meV/atom) = -474


2.
VASP calculation (PBE) on crystalline TbNi3B at its relaxed geometry.

Lattice parameters (Å, degrees): 4.0274 4.0274 4.0274 90.00 90.00 90.00
Sites, in units of the cell vectors:
1 Ni 0.5000 0.0000 0.0000
2 Ni 0.0000 0.0000 0.5000
3 Ni 0.0000 0.5000 0.0000
4 B 0.0000 0.0000 0.0000
5 Tb 0.5000 0.5000 0.5000

Values from the calculation:
- excess energy over the best structure of this formula in the dataset (meV per atom) = 0.0
- electronic total energy (eV/f.u.) = -30.574
- spin magnetization (μB/f.u.) = 0.000
- DFT formation energy (meV/atom) = -384


3.
VASP calculation (PBE) on crystalline CaGaGe2 at its relaxed geometry.

Lattice parameters (Å, degrees): 4.5261 4.5261 5.6914 66.57 66.57 60.00
Sites, in units of the cell vectors:
1 Ge 0.2860 0.2860 0.1419
2 Ge 0.7140 0.7140 0.8581
3 Ca 0.5000 0.5000 0.5000
4 Ga 0.0000 0.0000 0.0000

Values from the calculation:
- electronic total energy (eV/f.u.) = -15.132
- spin magnetization (μB/f.u.) = 0.000
- DFT formation energy (meV/atom) = -217


4.
VASP calculation (PBE) on crystalline Ga2SbAs at its relaxed geometry.

Lattice parameters (Å, degrees): 4.9423 4.9423 4.9423 60.00 60.00 60.00
Sites, in units of the cell vectors:
1 As 0.0000 0.0000 0.0000
2 Sb 0.5000 0.5000 0.5000
3 Ga 0.2500 0.2500 0.2500
4 Ga 0.7500 0.7500 0.7500

Values from the calculation:
- electronic total energy (eV/f.u.) = -14.094
- spin magnetization (μB/f.u.) = 0.000
- raw formation energy (eV/atom) = 0.18


5.
VASP calculation (PBE) on crystalline PaTiCr4 at its relaxed geometry.

Lattice parameters (Å, degrees): 5.0113 5.0113 5.0113 60.00 60.00 60.00
Sites, in units of the cell vectors:
1 Ti 0.0000 0.0000 0.0000
2 Cr 0.6252 0.6252 0.1245
3 Cr 0.6252 0.6252 0.6252
4 Cr 0.1245 0.6252 0.6252
5 Cr 0.6252 0.1245 0.6252
6 Pa 0.2500 0.2500 0.2500

Values from the calculation:
- electronic total energy (eV/f.u.) = -55.094
- spin magnetization (μB/f.u.) = 0.000
- DFT formation energy (meV/atom) = 132


6.
VASP calculation (PBE) on crystalline Tb2Pm2YEr2 at its relaxed geometry.

Lattice parameters (Å, degrees): 5.6901 5.6901 8.7941 71.12 71.12 60.00
Sites, in units of the cell vectors:
1 Pm 0.1391 0.1391 0.5827
2 Pm 0.8609 0.8609 0.4173
3 Er 0.5733 0.5733 0.2801
4 Er 0.4267 0.4267 0.7199
5 Tb 0.7166 0.7166 0.8501
6 Tb 0.2834 0.2834 0.1499
7 Y 0.0000 0.0000 0.0000

Values from the calculation:
- electronic total energy (eV/f.u.) = -33.382
- spin magnetization (μB/f.u.) = 0.000
- DFT formation energy (meV/atom) = 139


7.
VASP calculation (PBE) on crystalline LiCa2W at its relaxed geometry.

Lattice parameters (Å, degrees): 4.3714 4.3714 10.7800 78.30 78.30 90.00
Sites, in units of the cell vectors:
1 Li 0.2500 0.7500 0.5000
2 Li 0.5000 0.5000 0.0000
3 Ca 0.6273 0.1250 0.2500
4 Ca 0.8750 0.8773 0.7500
5 Ca 0.1227 0.6250 0.2500
6 Ca 0.3750 0.3727 0.7500
7 W 0.0000 0.0000 0.0000
8 W 0.7500 0.2500 0.5000

Values from the calculation:
- excess energy over the best structure of this formula in the dataset (meV per atom) = 653.3
- electronic total energy (eV/f.u.) = -13.639
- spin magnetization (μB/f.u.) = 1.427
- DFT formation energy (meV/atom) = 1308


8.
VASP calculation (PBE) on crystalline MgBeAsSe2 at its relaxed geometry.

Lattice parameters (Å, degrees): 5.0023 5.0023 4.9483 90.00 90.00 90.00
Sites, in units of the cell vectors:
1 As 0.0000 0.0000 0.5000
2 Be 0.5000 0.5000 0.5000
3 Se 0.5000 0.0000 0.0000
4 Se 0.0000 0.5000 0.0000
5 Mg 0.0000 0.0000 0.0000

Values from the calculation:
- excess energy over the best structure of this formula in the dataset (meV per atom) = 763.5
- electronic total energy (eV/f.u.) = -12.756
- spin magnetization (μB/f.u.) = 0.000
- raw formation energy (eV/atom) = 0.84


Question: The highest spin magnetization belongs to which entry?
Answer: Ce6Ir3Os


Please write out number 5 again, unchanged.
VASP calculation (PBE) on crystalline PaTiCr4 at its relaxed geometry.

Lattice parameters (Å, degrees): 5.0113 5.0113 5.0113 60.00 60.00 60.00
Sites, in units of the cell vectors:
1 Ti 0.0000 0.0000 0.0000
2 Cr 0.6252 0.6252 0.1245
3 Cr 0.6252 0.6252 0.6252
4 Cr 0.1245 0.6252 0.6252
5 Cr 0.6252 0.1245 0.6252
6 Pa 0.2500 0.2500 0.2500

Values from the calculation:
- electronic total energy (eV/f.u.) = -55.094
- spin magnetization (μB/f.u.) = 0.000
- DFT formation energy (meV/atom) = 132


Please write out number 6 again, unchanged.
VASP calculation (PBE) on crystalline Tb2Pm2YEr2 at its relaxed geometry.

Lattice parameters (Å, degrees): 5.6901 5.6901 8.7941 71.12 71.12 60.00
Sites, in units of the cell vectors:
1 Pm 0.1391 0.1391 0.5827
2 Pm 0.8609 0.8609 0.4173
3 Er 0.5733 0.5733 0.2801
4 Er 0.4267 0.4267 0.7199
5 Tb 0.7166 0.7166 0.8501
6 Tb 0.2834 0.2834 0.1499
7 Y 0.0000 0.0000 0.0000

Values from the calculation:
- electronic total energy (eV/f.u.) = -33.382
- spin magnetization (μB/f.u.) = 0.000
- DFT formation energy (meV/atom) = 139